Record 1
VASP calculation (PBE) on an optimized crystal structure of ZrI4.

Structure (extended XYZ):
```
10
Lattice="7.0135 -4.1866 0.0000 7.0135 4.1866 0.0000 -6.5501 0.0000 7.4633" Properties=species:S:1:pos:R:3 pbc="T T T"
I 2.0984 -2.0936 5.2096
I 8.6868 0.0000 1.2255
I 5.8043 0.0000 6.2384
I 2.0984 2.0936 5.2096
I -1.2099 0.0000 6.2379
I 5.3785 2.0936 2.2537
I 1.6726 0.0000 1.2249
I 5.3785 -2.0936 2.2537
Zr 7.0135 -2.0929 0.0000
Zr 7.0135 2.0929 0.0000
```

Total magnetic moment   0.003 Bohr magnetons per cell
Uncorrected energy   -3.791 eV/atom


Record 2
VASP calculation (PBE) on an optimized crystal structure of InIr8.

Structure (extended XYZ):
```
18
Lattice="-0.3528 -1.0982 3.6873 -3.7246 -2.7750 0.8411 16.5150 -23.8829 -5.5298" Properties=species:S:1:pos:R:3 pbc="T T T"
Ir 4.9004 -12.4017 0.8246
Ir 3.4079 -10.9017 -0.8957
Ir 6.0154 -10.2775 -0.4602
Ir 6.7800 -12.8221 -1.1447
Ir 5.6576 -14.9340 0.1432
Ir 1.5954 -10.5063 1.0726
Ir 4.1490 -9.8446 1.5141
Ir 2.6998 -8.3718 -0.2102
Ir 9.7378 -19.3843 -0.7913
Ir 6.4222 -17.4786 -0.5413
Ir 8.2827 -14.3060 0.5815
Ir 4.1549 -13.4501 -1.5830
Ir 9.0297 -16.8544 -0.1058
Ir 8.2886 -17.9115 -2.5156
Ir 7.5372 -15.3544 -1.8260
Ir 10.8422 -17.2498 -2.0740
In 9.1295 -20.6463 -3.2493
In 3.3081 -7.1098 2.2479
```

Total magnetic moment   0.006 Bohr magnetons per cell
Uncorrected energy   -8.054 eV/atom


Record 3
VASP calculation (PBE) on an optimized crystal structure of InIr17.

Structure (extended XYZ):
```
36
Lattice="-4.2082 1.4188 1.5929 -2.4264 -3.9311 -2.9081 2.7579 -20.8536 25.8829" Properties=species:S:1:pos:R:3 pbc="T T T"
Ir -1.3762 -15.8696 17.4985
Ir -3.7122 -8.3998 9.3273
Ir 0.2136 -7.2008 6.9926
Ir -0.7211 -10.7479 10.0096
Ir 1.3206 -15.6241 17.4530
Ir -1.9383 -11.6830 12.2838
Ir -5.1973 -7.7418 7.1147
Ir -2.2216 -10.0924 7.8091
Ir 0.7719 -11.4126 12.2191
Ir 1.0489 -13.0003 16.6947
Ir -0.4436 -12.3467 14.4951
Ir -4.6486 -11.9533 12.3486
Ir -2.7799 -4.8848 6.3595
Ir -3.1556 -12.6180 14.5581
Ir -3.8120 -18.7350 18.2857
Ir -2.8847 -15.2263 15.3005
Ir -1.6612 -14.2978 13.0254
Ir -1.6551 -13.2736 16.7586
Ir -3.4331 -11.0192 10.0726
Ir -0.1749 -13.9236 18.9381
Ir -2.4993 -6.4346 10.7811
Ir -0.1644 -14.9662 15.2404
Ir -3.7018 -9.4424 5.6296
Ir 0.4898 -8.7862 11.4609
Ir -4.3665 -14.5798 13.1068
Ir -4.0902 -16.1651 17.5751
Ir -2.2155 -9.0682 11.5423
Ir -1.2633 -6.5730 4.8455
Ir -0.9920 -8.1397 9.2672
Ir -0.7252 -9.7174 13.7379
Ir -2.5005 -7.4964 7.0692
Ir -1.0967 -18.4811 18.2082
Ir -0.0647 -4.6310 6.2820
Ir -2.6134 -16.7930 19.7222
In -4.0425 -6.4022 4.3408
In 0.1658 -16.9638 20.2270
```

Excess energy over the best structure of this formula in the dataset   0.00 eV/f.u.
Total magnetic moment   0.000 Bohr magnetons per cell
Uncorrected energy   -8.384 eV/atom


Record 4
VASP calculation (PBE) on an optimized crystal structure of InIr17.

Structure (extended XYZ):
```
36
Lattice="-5.0950 1.0160 -1.6684 1.8623 -5.1277 0.1132 -10.8946 -3.2661 31.2818" Properties=species:S:1:pos:R:3 pbc="T T T"
Ir -3.3121 -4.0356 3.1962
Ir -10.8151 -3.3421 26.5304
Ir 0.0000 0.0000 0.0000
Ir -1.1894 -3.2994 1.6228
Ir -1.6961 -1.9801 3.9737
Ir -12.0024 -6.6407 28.1563
Ir -13.3622 -2.8342 25.6964
Ir -2.5475 0.5080 -0.8342
Ir -1.2758 -3.2261 6.3648
Ir -6.8483 -0.8787 6.9857
Ir -2.1248 -0.7370 1.5704
Ir -12.8515 -4.1516 23.3618
Ir -9.4595 -7.1478 28.9889
Ir -7.2790 -6.4990 22.7409
Ir -8.6854 -2.6038 24.9386
Ir -10.3201 -4.6564 24.1907
Ir -0.7651 -4.5436 4.0303
Ir -9.8866 -5.9067 26.5954
Ir 0.9312 -2.5639 0.0566
Ir -9.8310 -5.9901 21.9052
Ir -3.7382 -2.7892 0.7942
Ir -4.2406 -1.4710 3.1313
Ir -12.9379 -4.0783 28.1038
Ir -2.2091 -0.6623 6.3432
Ir -4.6677 -0.2299 0.7377
Ir -5.9154 -3.4472 7.0425
Ir -3.8072 -2.7213 5.5359
Ir -10.3890 -4.5886 28.9324
Ir -12.4312 -5.3976 25.7530
Ir -11.2453 -2.1088 24.1345
Ir -1.6163 -2.0558 -0.7776
Ir -4.2962 -1.3876 7.8214
Ir -8.2118 -3.9306 22.6842
Ir -2.8819 -5.2689 5.5922
In -10.5197 -3.3534 21.1604
In -3.6076 -4.0244 8.5662
```

Excess energy over the best structure of this formula in the dataset   0.18 eV/f.u.
Total magnetic moment   0.003 Bohr magnetons per cell
Uncorrected energy   -8.374 eV/atom


Record 5
VASP calculation (PBE) on an optimized crystal structure of InIr10.

Structure (extended XYZ):
```
22
Lattice="4.3125 -1.9327 0.0000 4.3125 1.9327 0.0000 -0.0161 0.0000 32.6084" Properties=species:S:1:pos:R:3 pbc="T T T"
Ir 4.7372 0.0000 17.6100
Ir 2.1667 0.0000 9.7782
Ir 7.3247 0.0000 16.7389
Ir 0.4139 0.0000 21.9419
Ir 8.1950 0.0000 10.6666
Ir 5.6182 0.0000 11.5298
Ir 6.4614 0.0000 14.1380
Ir 7.3160 0.0000 8.0971
Ir 3.0294 0.0000 12.3992
Ir 2.9907 0.0000 21.0786
Ir 1.2843 0.0000 15.8695
Ir 6.4422 0.0000 22.8302
Ir 0.4306 0.0000 13.2732
Ir 2.1475 0.0000 18.4705
Ir 5.5795 0.0000 20.2092
Ir 1.2930 0.0000 24.5113
Ir 3.8717 0.0000 14.9984
Ir 4.7185 0.0000 8.9652
Ir 3.8904 0.0000 23.6432
Ir 8.1783 0.0000 19.3352
In 7.3397 0.0000 25.6526
In 1.2692 0.0000 6.9558
```

Total magnetic moment   0.001 Bohr magnetons per cell
Uncorrected energy   -8.199 eV/atom


Record 6
VASP calculation (PBE) on an optimized crystal structure of In2Ir9.

Structure (extended XYZ):
```
11
Lattice="2.7861 0.0000 0.0000 -1.3931 2.4129 0.0000 0.0000 0.0000 35.9696" Properties=species:S:1:pos:R:3 pbc="T T T"
Ir 0.0000 0.0000 17.9848
Ir 1.3931 0.8043 20.2002
Ir 1.3931 0.8043 26.8269
Ir 0.0000 1.6086 22.4175
Ir 0.0000 1.6086 15.7694
Ir 1.3931 0.8043 13.5521
Ir 0.0000 0.0000 11.3460
Ir 0.0000 0.0000 24.6236
Ir 0.0000 1.6086 9.1427
In 0.0000 1.6086 29.3447
In 1.3931 0.8043 6.6248
```

Total magnetic moment   0.003 Bohr magnetons per cell
Uncorrected energy   -7.572 eV/atom


Record 7
VASP calculation (PBE) on an optimized crystal structure of In2Ir7.

Structure (extended XYZ):
```
9
Lattice="-1.3972 -0.8475 -2.2719 2.4368 -1.2005 0.6730 -14.6214 -20.3767 16.5928" Properties=species:S:1:pos:R:3 pbc="T T T"
Ir -10.5214 -14.6629 11.9401
Ir -5.0777 -9.7741 6.7687
Ir -7.3107 -10.1883 8.2964
Ir -8.2967 -14.2603 10.4218
Ir -8.5041 -12.6505 8.2252
Ir -5.2850 -8.1644 4.5721
Ir -4.0999 -5.7137 4.6527
In -1.7184 -5.0926 2.9565
In -11.8633 -17.3321 12.0374
```

Total magnetic moment   0.000 Bohr magnetons per cell
Uncorrected energy   -7.290 eV/atom


Record 8
VASP calculation (PBE) on an optimized crystal structure of KIn9Ir2.

Structure (extended XYZ):
```
12
Lattice="-1.9328 1.6256 8.7233 8.4399 -2.3146 -2.4259 0.9811 4.1628 -0.5583" Properties=species:S:1:pos:R:3 pbc="T T T"
In 1.4366 2.2751 2.8274
In 6.7852 0.5817 -0.3992
In 0.7030 2.8921 6.1383
In 4.2199 -1.1573 -1.2130
In 3.9064 2.0136 5.2175
In -0.9664 0.8128 4.3616
In 6.0516 1.1987 2.9117
In 3.2535 -0.3445 3.1487
In 3.5819 1.4602 0.5215
Ir 4.9823 -1.0012 1.2905
Ir 1.5248 0.3122 5.0069
K 0.0000 0.0000 0.0000
```

Total magnetic moment   0.006 Bohr magnetons per cell
Uncorrected energy   -3.816 eV/atom